Record 1
Density functional theory data (PBE) for a geometry-optimized SbIrW structure.

abc: 6.236 6.236 6.236
angles: 90.00 90.00 90.00
Space group F-43m (No. 216)
Inequivalent atoms, fractional coordinates:
1 Sb 0.000 0.000 0.000 (multiplicity 4)
2 Ir 0.000 0.000 0.500 (multiplicity 4)
3 W 0.250 0.250 0.250 (multiplicity 4)

Results
- V (Å³/f.u.) = 60.6
- uncorrected formation energy (kcal/mol of atoms) = 10.4
- relative energy among the computed polymorphs (eV/atom) = 0.203



Record 2
Density functional theory data (PBE) for a geometry-optimized Sb2IrW structure.

abc: 6.773 6.773 6.773
angles: 90.00 90.00 90.00
Space group F-43m (No. 216)
Inequivalent atoms, fractional coordinates:
1 Sb 0.000 0.000 0.000 (multiplicity 4)
2 Sb 0.250 0.250 0.250 (multiplicity 4)
3 Ir 0.250 0.250 0.750 (multiplicity 4)
4 W 0.000 0.000 0.500 (multiplicity 4)

Results
- V (Å³/f.u.) = 77.7
- uncorrected formation energy (kcal/mol of atoms) = 19.5
- relative energy among the computed polymorphs (eV/atom) = 0.691



Record 3
Density functional theory data (PBE) for a geometry-optimized SbIrW structure.

abc: 2.935 4.006 8.875
angles: 90.00 90.00 90.00
Space group Imm2 (No. 44)
Inequivalent atoms, fractional coordinates:
1 Sb 0.000 0.000 0.000 (multiplicity 2)
2 Ir 0.000 0.000 0.323 (multiplicity 2)
3 W 0.000 0.000 0.681 (multiplicity 2)

Results
- V (Å³/f.u.) = 52.2
- uncorrected formation energy (kcal/mol of atoms) = 10.0
- relative energy among the computed polymorphs (eV/atom) = 0.182